# 1
The following is a PBE calculation of PdPtPb2N after structural relaxation, from Alexandria via LeMat-Bulk.

Unit cell a=5.2237 b=5.2237 c=5.0377 alpha=90.00 beta=90.00 gamma=90.00
Positions (direct):
Pd1 0.0000 0.0000 0.0000
Pt1 0.0000 0.0000 0.5000
Pb1 0.0000 0.5000 0.5000
Pb2 0.5000 0.0000 0.5000
N1 0.5000 0.5000 0.0000

Calculated values
E, eV per atom: -3.970
Raw formation energy, eV per atom: 1.425
Magnetization, μB/f.u.: 0.0

# 2
The following is a PBE calculation of Rb2BaSb2 after structural relaxation, from Alexandria via LeMat-Bulk.

Unit cell a=10.3305 b=10.3305 c=3.7653 alpha=90.00 beta=90.00 gamma=90.00
Positions (direct):
Rb1 0.1121 0.3879 0.0000
Rb2 0.3879 0.8879 0.0000
Rb3 0.6121 0.1121 0.0000
Rb4 0.8879 0.6121 0.0000
Ba1 0.0000 0.0000 0.0000
Ba2 0.5000 0.5000 0.0000
Sb1 0.1871 0.6871 0.5000
Sb2 0.3129 0.1871 0.5000
Sb3 0.6871 0.8129 0.5000
Sb4 0.8129 0.3129 0.5000

Calculated values
E, eV per atom: -2.723
Raw formation energy, eV per atom: -0.302
Magnetization, μB/f.u.: 0.0

# 3
The following is a PBE calculation of TcIrOs after structural relaxation, from Alexandria via LeMat-Bulk.

Unit cell a=6.0903 b=6.0903 c=3.8782 alpha=90.00 beta=90.00 gamma=143.01
Positions (direct):
Tc1 0.1654 0.8346 0.0000
Tc2 0.8346 0.1654 0.0000
Ir1 0.3343 0.6657 0.5000
Ir2 0.6657 0.3343 0.5000
Os1 0.0000 0.0000 0.5000
Os2 0.5000 0.5000 0.0000

Calculated values
E, eV per atom: -10.208
Calculated formation energy, kJ per mole of atoms: -5
Magnetization, μB/f.u.: 0.0

Please write out number 1 again, unchanged.
The following is a PBE calculation of PdPtPb2N after structural relaxation, from Alexandria via LeMat-Bulk.

Unit cell a=5.2237 b=5.2237 c=5.0377 alpha=90.00 beta=90.00 gamma=90.00
Positions (direct):
Pd1 0.0000 0.0000 0.0000
Pt1 0.0000 0.0000 0.5000
Pb1 0.0000 0.5000 0.5000
Pb2 0.5000 0.0000 0.5000
N1 0.5000 0.5000 0.0000

Calculated values
E, eV per atom: -3.970
Raw formation energy, eV per atom: 1.425
Magnetization, μB/f.u.: 0.0